[1]
# PBE-GGA Ba2VTcW, optimized geometry
# Crystal system: tetragonal
# Formation enthalpy at 0 K (eV per atom): 1.922
# VASP energy (eV per atom): -5.335
# Total magnetic moment (μB per cell): 0.59
data_Ba2VTcW
_cell_length_a 6.215
_cell_length_b 6.215
_cell_length_c 4.628
_cell_angle_alpha 90.00
_cell_angle_beta 90.00
_cell_angle_gamma 90.00
_space_group_name_H-M_alt 'P 4/m m m'
_space_group_IT_number 123
_space_group_name_Hall '-P 4 2'
loop_
_atom_site_label
_atom_site_type_symbol
_atom_site_fract_x
_atom_site_fract_y
_atom_site_fract_z
_atom_site_occupancy
Ba1 Ba 0.000 0.500 0.000 1
V1 V 0.000 0.000 0.500 1
Tc1 Tc 0.500 0.500 0.500 1
W1 W 0.500 0.500 0.000 1

---

[2]
# PBE-GGA Tb5In2Te, optimized geometry
# Crystal system: orthorhombic
# VASP energy (eV per atom): -4.253
# Total magnetic moment (μB per cell): 0.00
# ΔE_f (raw) (eV/atom): -0.282
data_Tb5In2Te
_cell_length_a 6.085
_cell_length_b 12.533
_cell_length_c 12.976
_cell_angle_alpha 90.00
_cell_angle_beta 90.00
_cell_angle_gamma 90.00
_space_group_name_H-M_alt 'C m c m'
_space_group_IT_number 63
_space_group_name_Hall '-C 2c 2'
loop_
_atom_site_label
_atom_site_type_symbol
_atom_site_fract_x
_atom_site_fract_y
_atom_site_fract_z
_atom_site_occupancy
Tb1 Tb 0.000 0.071 0.101 1
Tb2 Tb 0.000 0.375 0.046 1
Tb3 Tb 0.000 0.406 0.750 1
In1 In 0.000 0.185 0.628 1
Te1 Te 0.000 0.253 0.250 1

---

[3]
# PBE-GGA Sr2YCl, optimized geometry
# Crystal system: tetragonal
# VASP energy (eV per atom): -2.988
# Total magnetic moment (μB per cell): 3.24
# Offset from the most stable computed form (eV/f.u.): 2.70
# ΔE_f (raw) (eV/atom): -0.069
data_Sr2YCl
_cell_length_a 5.243
_cell_length_b 5.243
_cell_length_c 11.437
_cell_angle_alpha 90.00
_cell_angle_beta 90.00
_cell_angle_gamma 90.00
_space_group_name_H-M_alt 'I 4/m m m'
_space_group_IT_number 139
_space_group_name_Hall '-I 4 2'
loop_
_atom_site_label
_atom_site_type_symbol
_atom_site_fract_x
_atom_site_fract_y
_atom_site_fract_z
_atom_site_occupancy
Sr1 Sr 0.000 0.500 0.250 1
Y1 Y 0.000 0.000 0.000 1
Cl1 Cl 0.000 0.000 0.500 1

---

[4]
# PBE-GGA ZnCdRu4, optimized geometry
# Crystal system: cubic
# Formation enthalpy at 0 K (eV per atom): 0.496
# VASP energy (eV per atom): -6.053
# Total magnetic moment (μB per cell): 10.06
data_ZnCdRu4
_cell_length_a 7.294
_cell_length_b 7.294
_cell_length_c 7.294
_cell_angle_alpha 90.00
_cell_angle_beta 90.00
_cell_angle_gamma 90.00
_space_group_name_H-M_alt 'F -4 3 m'
_space_group_IT_number 216
_space_group_name_Hall 'F -4 2 3'
loop_
_atom_site_label
_atom_site_type_symbol
_atom_site_fract_x
_atom_site_fract_y
_atom_site_fract_z
_atom_site_occupancy
Zn1 Zn 0.000 0.000 0.000 1
Cd1 Cd 0.250 0.250 0.750 1
Ru1 Ru 0.125 0.125 0.375 1

---

[5]
# PBE-GGA La2Zr2Be, optimized geometry
# Crystal system: tetragonal
# Formation enthalpy at 0 K (eV per atom): 0.282
# VASP energy (eV per atom): -5.853
# Total magnetic moment (μB per cell): 0.00
data_La2Zr2Be
_cell_length_a 7.115
_cell_length_b 7.115
_cell_length_c 5.087
_cell_angle_alpha 90.00
_cell_angle_beta 90.00
_cell_angle_gamma 90.00
_space_group_name_H-M_alt 'P 4/m b m'
_space_group_IT_number 127
_space_group_name_Hall '-P 4 2ab'
loop_
_atom_site_label
_atom_site_type_symbol
_atom_site_fract_x
_atom_site_fract_y
_atom_site_fract_z
_atom_site_occupancy
La1 La 0.169 0.331 0.000 1
Zr1 Zr 0.150 0.650 0.500 1
Be1 Be 0.000 0.000 0.500 1

---

[6]
# PBE-GGA Pr3Ni2Ag4, optimized geometry
# Crystal system: monoclinic
# Formation enthalpy at 0 K (eV per atom): -0.221
# VASP energy (eV per atom): -4.366
# Total magnetic moment (μB per cell): 0.00
data_Pr3Ni2Ag4
_cell_length_a 11.540
_cell_length_b 4.245
_cell_length_c 9.284
_cell_angle_alpha 90.00
_cell_angle_beta 116.34
_cell_angle_gamma 90.00
_space_group_name_H-M_alt 'C 1 2/m 1'
_space_group_IT_number 12
loop_
_space_group_symop_operation_xyz
'x,y,z'
'-x,-y,-z'
'-x,y,-z'
'x,-y,z'
'x+1/2,y+1/2,z'
'-x+1/2,-y+1/2,-z'
'-x+1/2,y+1/2,-z'
'x+1/2,-y+1/2,z'
loop_
_atom_site_label
_atom_site_type_symbol
_atom_site_fract_x
_atom_site_fract_y
_atom_site_fract_z
_atom_site_occupancy
Pr1 Pr 0.000 0.000 0.000 1
Pr2 Pr 0.188 0.500 0.629 1
Ni1 Ni 0.109 0.500 0.267 1
Ag1 Ag 0.015 0.000 0.352 1
Ag2 Ag 0.235 0.500 0.086 1

---

[7]
# PBE-GGA Al2IrAu, optimized geometry
# Crystal system: monoclinic
# Formation enthalpy at 0 K (eV per atom): -0.421
# VASP energy (eV per atom): -5.326
# Total magnetic moment (μB per cell): 0.00
data_Al2IrAu
_cell_length_a 8.405
_cell_length_b 3.000
_cell_length_c 5.042
_cell_angle_alpha 90.00
_cell_angle_beta 101.36
_cell_angle_gamma 90.00
_space_group_name_H-M_alt 'C 1 2/m 1'
_space_group_IT_number 12
loop_
_space_group_symop_operation_xyz
'x,y,z'
'-x,-y,-z'
'-x,y,-z'
'x,-y,z'
'x+1/2,y+1/2,z'
'-x+1/2,-y+1/2,-z'
'-x+1/2,y+1/2,-z'
'x+1/2,-y+1/2,z'
loop_
_atom_site_label
_atom_site_type_symbol
_atom_site_fract_x
_atom_site_fract_y
_atom_site_fract_z
_atom_site_occupancy
Al1 Al 0.242 0.000 0.226 1
Ir1 Ir 0.000 0.500 0.000 1
Au1 Au 0.000 0.000 0.500 1

---

[8]
# PBE-GGA AcSiSb2, optimized geometry
# Crystal system: cubic
# VASP energy (eV per atom): -4.516
# Total magnetic moment (μB per cell): 0.00
# Offset from the most stable computed form (eV/f.u.): 1.05
# ΔE_f (raw) (eV/atom): -0.072
data_AcSiSb2
_cell_length_a 7.762
_cell_length_b 7.762
_cell_length_c 7.762
_cell_angle_alpha 90.00
_cell_angle_beta 90.00
_cell_angle_gamma 90.00
_space_group_name_H-M_alt 'F m -3 m'
_space_group_IT_number 225
_space_group_name_Hall '-F 4 2 3'
loop_
_atom_site_label
_atom_site_type_symbol
_atom_site_fract_x
_atom_site_fract_y
_atom_site_fract_z
_atom_site_occupancy
Ac1 Ac 0.000 0.000 0.000 1
Si1 Si 0.000 0.000 0.500 1
Sb1 Sb 0.250 0.250 0.250 1